Record 1
This record from Alexandria describes a geometry-optimized CePa2Bi structure. The functional is PBE.

Lattice parameters (Å, degrees): 3.8539 3.8539 9.7989 78.66 78.66 60.00
Atoms (fractional coordinates):
Pa 0.1105 0.1105 0.6684
Ce 0.5000 0.5000 0.5000
Bi 0.0000 0.0000 0.0000
Pa 0.8895 0.8895 0.3316

Output
As for the energy above the most stable polymorph in this dataset: 832 meV/atom. The formation energy comes out at 0.687 eV/atom. The space group is No. 166.

***

Record 2
This record from Alexandria describes a geometry-optimized Pr2ThBi2N2 structure. The functional is PBE.

Lattice parameters (Å, degrees): 4.6553 4.6553 8.8712 105.21 105.21 90.00
Atoms (fractional coordinates):
N 0.5000 0.0000 0.0000
Bi 0.7935 0.7935 0.5869
Bi 0.2065 0.2065 0.4131
N 0.0000 0.5000 0.0000
Th 0.0000 0.0000 0.0000
Pr 0.6000 0.6000 0.2000
Pr 0.4000 0.4000 0.8000

Output
The raw formation energy is -890 meV/atom. The space group is No. 139.

***

Record 3
This record from Alexandria describes a geometry-optimized CaSm2GaN4 structure. The functional is PBE.

Lattice parameters (Å, degrees): 3.4930 6.1811 12.0530 90.00 90.00 106.41
Atoms (fractional coordinates):
Ga 0.8380 0.6761 0.7500
N 0.2607 0.5213 0.3780
Sm 0.3682 0.7365 0.5460
Ca 0.1026 0.2052 0.7500
N 0.7393 0.4787 0.6220
Ca 0.8974 0.7948 0.2500
N 0.2607 0.5213 0.1220
Ga 0.1620 0.3239 0.2500
Sm 0.6318 0.2635 0.4540
N 0.0000 0.0000 0.5000
N 0.5662 0.1324 0.2500
Sm 0.3682 0.7365 0.9540
N 0.7393 0.4787 0.8780
N 0.0000 0.0000 0.0000
N 0.4338 0.8676 0.7500
Sm 0.6318 0.2635 0.0460

Output
The raw formation energy is -838 meV/atom. The space group is No. 63.

***

Record 4
This record from Alexandria describes a geometry-optimized In2Se2I structure. The functional is PBE.

Lattice parameters (Å, degrees): 5.0542 5.0542 6.8855 68.47 68.47 90.00
Atoms (fractional coordinates):
Se 0.6487 0.6487 0.7025
In 0.2500 0.7500 0.5000
In 0.7500 0.2500 0.5000
Se 0.3513 0.3513 0.2975
I 0.0000 0.0000 0.0000

Output
As for the energy above the most stable polymorph in this dataset: 80 meV/atom. The raw formation energy is -341 meV/atom. The space group is No. 139.

***

Final energy per entry: -6.51, -6.80, -6.81, -3.14 eV/atom